# 1
The following is a DFT calculation (GGA-PBE) of a geometry-optimized SrScO2F structure.

Structure (CIF):
```
data_SrScO2F
_chemical_formula_sum 'Sr1 Sc1 O2 F1'
_space_group_name_H-M_alt 'P 4/m m m'
_space_group_IT_number 123
_space_group_name_Hall '-P 4 2'
_cell_length_a 4.1473
_cell_length_b 4.1473
_cell_length_c 4.0923
_cell_angle_alpha 90.00
_cell_angle_beta 90.00
_cell_angle_gamma 90.00
loop_
_atom_site_label
_atom_site_type_symbol
_atom_site_fract_x
_atom_site_fract_y
_atom_site_fract_z
Sr1 Sr 0.0000 0.0000 0.0000
Sc1 Sc 0.5000 0.5000 0.5000
O1 O 0.0000 0.5000 0.5000
F1 F 0.5000 0.5000 0.0000
```

As for the uncorrected formation energy: -3.35 eV/atom.


# 2
The following is a DFT calculation (GGA-PBE) of a geometry-optimized SrZnCu structure.

Structure (CIF):
```
data_SrZnCu
_chemical_formula_sum 'Sr1 Zn1 Cu1'
_space_group_name_H-M_alt 'P -6 m 2'
_space_group_IT_number 187
_space_group_name_Hall 'P -6 2'
_cell_length_a 4.4203
_cell_length_b 4.4203
_cell_length_c 4.2882
_cell_angle_alpha 90.00
_cell_angle_beta 90.00
_cell_angle_gamma 120.00
loop_
_atom_site_label
_atom_site_type_symbol
_atom_site_fract_x
_atom_site_fract_y
_atom_site_fract_z
Sr1 Sr 0.0000 0.0000 0.0000
Zn1 Zn 0.6667 0.3333 0.5000
Cu1 Cu 0.3333 0.6667 0.5000
```

For the formation enthalpy at 0 K, the calculation gives -0.16 eV per atom.


# 3
The following is a DFT calculation (GGA-PBE) of a geometry-optimized ScTc2Ni structure.

Structure (CIF):
```
data_ScTc2Ni
_chemical_formula_sum 'Sc2 Tc4 Ni2'
_space_group_name_H-M_alt 'C 1 m 1'
_space_group_IT_number 8
_space_group_name_Hall 'C -2y'
_cell_length_a 8.8021
_cell_length_b 3.0066
_cell_length_c 4.7278
_cell_angle_alpha 90.00
_cell_angle_beta 102.94
_cell_angle_gamma 90.00
loop_
_atom_site_label
_atom_site_type_symbol
_atom_site_fract_x
_atom_site_fract_y
_atom_site_fract_z
Sc1 Sc 0.0000 0.0000 0.0000
Tc1 Tc 0.0165 0.5000 0.5129
Tc2 Tc 0.2738 0.5000 0.3486
Ni1 Ni 0.2526 0.0000 0.8096
```

For the formation enthalpy at 0 K, the calculation gives 0.01 eV per atom. The relative energy among the computed polymorphs comes out at 0.1307 eV/atom.


# 4
The following is a DFT calculation (GGA-PBE) of a geometry-optimized MgPRh2 structure.

Structure (CIF):
```
data_MgPRh2
_chemical_formula_sum 'Mg1 P1 Rh2'
_space_group_name_H-M_alt 'P 1 2/m 1'
_space_group_IT_number 10
_space_group_name_Hall '-P 2y'
_cell_length_a 3.0438
_cell_length_b 3.5681
_cell_length_c 5.7595
_cell_angle_alpha 90.00
_cell_angle_beta 104.67
_cell_angle_gamma 90.00
loop_
_atom_site_label
_atom_site_type_symbol
_atom_site_fract_x
_atom_site_fract_y
_atom_site_fract_z
Mg1 Mg 0.0000 0.0000 0.0000
P1 P 0.5000 0.0000 0.5000
Rh1 Rh 0.3906 0.5000 0.7231
```

For the formation enthalpy at 0 K, the calculation gives -0.49 eV per atom.


# 5
The following is a DFT calculation (GGA-PBE) of a geometry-optimized YMn2W structure.

Structure (CIF):
```
data_YMn2W
_chemical_formula_sum 'Y3 Mn6 W3'
_space_group_name_H-M_alt 'R -3 m'
_space_group_IT_number 166
_space_group_name_Hall '-R 3 2"'
_cell_length_a 4.2166
_cell_length_b 4.2166
_cell_length_c 14.6315
_cell_angle_alpha 90.00
_cell_angle_beta 90.00
_cell_angle_gamma 120.00
loop_
_atom_site_label
_atom_site_type_symbol
_atom_site_fract_x
_atom_site_fract_y
_atom_site_fract_z
Y1 Y 0.0000 0.0000 0.0000
Mn1 Mn 0.0000 0.0000 0.2041
W1 W 0.0000 0.0000 0.5000
```

For the formation enthalpy at 0 K, the calculation gives 0.24 eV per atom. The relative energy among the computed polymorphs comes out at 0.0097 eV/atom.


# 6
The following is a DFT calculation (GGA-PBE) of a geometry-optimized FeReHgSe2 structure.

Structure (CIF):
```
data_FeReHgSe2
_chemical_formula_sum 'Fe1 Re1 Hg1 Se2'
_space_group_name_H-M_alt 'P 4/m m m'
_space_group_IT_number 123
_space_group_name_Hall '-P 4 2'
_cell_length_a 5.2262
_cell_length_b 5.2262
_cell_length_c 4.8957
_cell_angle_alpha 90.00
_cell_angle_beta 90.00
_cell_angle_gamma 90.00
loop_
_atom_site_label
_atom_site_type_symbol
_atom_site_fract_x
_atom_site_fract_y
_atom_site_fract_z
Fe1 Fe 0.0000 0.0000 0.0000
Re1 Re 0.5000 0.5000 0.0000
Hg1 Hg 0.0000 0.0000 0.5000
Se1 Se 0.0000 0.5000 0.5000
```

As for the uncorrected formation energy: 1.97 eV/atom.


Calculated total moment in order - 0.0 0.0 0.0 0.0 11.6 7.7 μB/cell